1.
# TbTm6Tl

A relaxed structure of TbTm6Tl (GGA-PBE, Alexandria).

```
data_TbTm6Tl
_chemical_formula_sum 'Tb2 Tm12 Tl2'
_cell_length_a 5.3687
_cell_length_b 3.5403
_cell_length_c 24.9711
_cell_angle_alpha 90.00
_cell_angle_beta 90.00
_cell_angle_gamma 90.00
_space_group_name_H-M_alt 'A m m 2'
_space_group_IT_number 38
loop_
_space_group_symop_operation_xyz
'x,y,z'
'-x,-y,z'
'-x,y,z'
'x,-y,z'
'x,y+1/2,z+1/2'
'-x,-y+1/2,z+1/2'
'-x,y+1/2,z+1/2'
'x,-y+1/2,z+1/2'
loop_
_atom_site_label
_atom_site_fract_x
_atom_site_fract_y
_atom_site_fract_z
Tb1 0.0000 0.0000 0.0000
Tm1 0.0000 0.0000 0.1332
Tm2 0.0000 0.0000 0.3792
Tm3 0.0000 0.0000 0.7567
Tm4 0.5000 0.0000 0.2991
Tm5 0.5000 0.0000 0.5539
Tm6 0.5000 0.0000 0.9217
Tl1 0.5000 0.0000 0.6827
```

Energy of formation from the pure elements in kJ per mole of atoms: -5.6
Magnetization in μB per formula unit: 0.000
VASP energy in eV/atom: -4.29
Polymorph energy (0 for the lowest one) in meV/atom: 9.7

2.
# TaInNiC

A relaxed structure of TaInNiC (GGA-PBE, Alexandria).

```
data_TaInNiC
_chemical_formula_sum 'Ta2 In2 Ni2 C2'
_cell_length_a 3.1173
_cell_length_b 3.1173
_cell_length_c 11.4911
_cell_angle_alpha 90.00
_cell_angle_beta 90.00
_cell_angle_gamma 90.00
_space_group_name_H-M_alt 'I 4 m m'
_space_group_IT_number 107
_space_group_name_Hall 'I 4 -2'
loop_
_atom_site_label
_atom_site_fract_x
_atom_site_fract_y
_atom_site_fract_z
Ta1 0.0000 0.0000 0.0000
In1 0.0000 0.0000 0.2798
Ni1 0.0000 0.0000 0.6553
C1 0.0000 0.0000 0.4840
```

Energy of formation from the pure elements in kJ per mole of atoms: -8.8
Magnetization in μB per formula unit: 0.000
VASP energy in eV/atom: -7.49
Polymorph energy (0 for the lowest one) in meV/atom: 1.6

3.
# CaFeB2Ru

A relaxed structure of CaFeB2Ru (GGA-PBE, Alexandria).

```
data_CaFeB2Ru
_chemical_formula_sum 'Ca2 Fe2 B4 Ru2'
_cell_length_a 3.8136
_cell_length_b 3.8136
_cell_length_c 9.9828
_cell_angle_alpha 90.00
_cell_angle_beta 90.00
_cell_angle_gamma 90.00
_space_group_name_H-M_alt 'I -4 m 2'
_space_group_IT_number 119
_space_group_name_Hall 'I -4 -2'
loop_
_atom_site_label
_atom_site_fract_x
_atom_site_fract_y
_atom_site_fract_z
Ca1 0.0000 0.0000 0.0000
Fe1 0.0000 0.5000 0.2500
B1 0.0000 0.0000 0.3251
Ru1 0.0000 0.5000 0.7500
```

Energy of formation from the pure elements in kJ per mole of atoms: -26.9
Magnetization in μB per formula unit: 1.489
VASP energy in eV/atom: -6.90

4.
# SrSmTl2

A relaxed structure of SrSmTl2 (GGA-PBE, Alexandria).

```
data_SrSmTl2
_chemical_formula_sum 'Sr1 Sm1 Tl2'
_cell_length_a 3.9456
_cell_length_b 3.9456
_cell_length_c 8.0699
_cell_angle_alpha 90.00
_cell_angle_beta 90.00
_cell_angle_gamma 90.00
_space_group_name_H-M_alt 'P 4/m m m'
_space_group_IT_number 123
_space_group_name_Hall '-P 4 2'
loop_
_atom_site_label
_atom_site_fract_x
_atom_site_fract_y
_atom_site_fract_z
Sr1 0.0000 0.0000 0.0000
Sm1 0.0000 0.0000 0.5000
Tl1 0.5000 0.5000 0.2681
```

Energy of formation from the pure elements in kJ per mole of atoms: -38.3
Magnetization in μB per formula unit: 0.000
VASP energy in eV/atom: -3.18

5.
# BePb

A relaxed structure of BePb (GGA-PBE, Alexandria).

```
data_BePb
_chemical_formula_sum 'Be6 Pb6'
_cell_length_a 7.1676
_cell_length_b 7.1676
_cell_length_c 7.1676
_cell_angle_alpha 90.00
_cell_angle_beta 90.00
_cell_angle_gamma 90.00
_space_group_name_H-M_alt 'P m -3 n'
_space_group_IT_number 223
_space_group_name_Hall '-P 4n 2 3'
loop_
_atom_site_label
_atom_site_fract_x
_atom_site_fract_y
_atom_site_fract_z
Be1 0.0000 0.2500 0.5000
Pb1 0.0000 0.5000 0.2500
```

Energy of formation from the pure elements in kJ per mole of atoms: 89.2
Magnetization in μB per formula unit: 0.000
VASP energy in eV/atom: -2.79
Polymorph energy (0 for the lowest one) in meV/atom: 621.3

6.
# FeAg2Te

A relaxed structure of FeAg2Te (GGA-PBE, Alexandria).

```
data_FeAg2Te
_chemical_formula_sum 'Fe1 Ag2 Te1'
_cell_length_a 3.9651
_cell_length_b 4.1236
_cell_length_c 4.5806
_cell_angle_alpha 90.00
_cell_angle_beta 90.00
_cell_angle_gamma 90.00
_space_group_name_H-M_alt 'P m m m'
_space_group_IT_number 47
loop_
_space_group_symop_operation_xyz
'x,y,z'
'-x,-y,-z'
'-x,-y,z'
'x,y,-z'
'x,-y,-z'
'-x,y,z'
'-x,y,-z'
'x,-y,z'
loop_
_atom_site_label
_atom_site_fract_x
_atom_site_fract_y
_atom_site_fract_z
Fe1 0.0000 0.0000 0.0000
Ag1 0.0000 0.5000 0.5000
Ag2 0.5000 0.0000 0.5000
Te1 0.5000 0.5000 0.0000
```

Magnetization in μB per formula unit: 2.905
Formation energy from raw total energies in eV/atom: 0.331
VASP energy in eV/atom: -4.00

For each record above, in turn, the calculated V values are 29.66 13.96 14.52 31.41 30.69 18.72 A^3/atom.